Material: Sb2CF
Method: DFT, GGA-PBE
State: relaxed

Cell and atoms, written as POSCAR:
```
Sb2CF
1.0
3.123 -0.466 3.215
-0.425 2.228 3.893
-0.979 -2.242 3.784
Sb C F
2 1 1
Cartesian
1.289 -0.360 8.169 Sb
0.430 -0.120 2.723 Sb
0.000 0.000 0.000 C
0.859 -0.240 5.446 F
```

Summary:
E above lowest polymorph: 0.299 eV per atom
Formation energy (no corrections): 0.544 eV per atom
Total DFT energy (no corrections): -4.2907 eV per atom
M_tot: 0.00 μB/f.u.

***

Material: Mg2TaH
Method: DFT, GGA-PBE
State: relaxed

Cell and atoms, written as POSCAR:
```
Mg2TaH
1.0
5.671 0.000 0.000
0.000 5.671 0.000
2.836 2.836 3.910
Mg Ta H
4 2 2
Cartesian
2.491 4.254 0.977 Mg
7.089 6.016 2.932 Mg
4.254 5.327 2.932 Mg
3.180 1.418 0.977 Mg
5.671 2.836 1.955 Ta
0.000 0.000 0.000 Ta
2.836 2.836 0.000 H
2.836 5.671 1.955 H
```

Summary:
Total DFT energy (no corrections): -4.0154 eV per atom
M_tot: 0.39 μB/f.u.

***

Material: CaReAg2
Method: DFT, GGA-PBE
State: relaxed

Cell and atoms, written as POSCAR:
```
CaReAg2
1.0
5.971 -0.004 0.001
3.054 5.131 -0.001
-3.729 -3.943 2.491
Ag Ca Re
2 1 1
Cartesian
9.010 5.118 0.000 Ag
1.787 1.801 1.245 Ag
4.523 2.570 0.000 Ca
3.513 -0.615 1.246 Re
```

Summary:
Formation energy from the elements: 0.588 eV/atom
E above lowest polymorph: 0.115 eV per atom
Total DFT energy (no corrections): -4.4496 eV per atom
M_tot: 0.00 μB/f.u.

***

Material: Pu2HgI
Method: DFT, GGA-PBE
State: relaxed

Cell and atoms, written as POSCAR:
```
Pu2HgI
1.0
4.279 0.000 0.000
2.140 3.706 0.000
2.140 1.235 8.003
Pu Hg I
2 1 1
Cartesian
6.419 3.706 6.098 Pu
2.140 1.235 1.905 Pu
0.000 0.000 0.000 Hg
4.279 2.471 4.002 I
```

Summary:
E above lowest polymorph: 0.128 eV per atom
Formation energy (no corrections): -0.151 eV per atom
Total DFT energy (no corrections): -7.7797 eV per atom
M_tot: 12.42 μB/f.u.

***

Material: K2TaCu
Method: DFT, GGA-PBE
State: relaxed

Cell and atoms, written as POSCAR:
```
K2TaCu
1.0
-2.952 -2.152 4.739
-0.833 -3.384 -2.056
3.420 -1.673 1.370
Ta Cu K
1 1 2
Cartesian
-1.892 -2.768 1.342 Ta
0.234 -1.913 3.055 Cu
0.000 0.000 0.000 K
1.294 -2.529 -0.343 K
```

Summary:
Formation energy from the elements: 1.386 eV/atom
E above lowest polymorph: 0.638 eV per atom
Total DFT energy (no corrections): -3.1496 eV per atom
M_tot: 1.50 μB/f.u.

***

Material: LiY3Hg
Method: DFT, GGA-PBE
State: relaxed

Cell and atoms, written as POSCAR:
```
LiY3Hg
1.0
5.713 0.000 0.000
0.000 5.713 0.000
0.000 0.000 5.713
Hg Y Li
1 3 1
Cartesian
0.000 0.000 0.000 Hg
0.000 2.856 0.000 Y
0.000 0.000 2.856 Y
2.856 0.000 0.000 Y
2.856 2.856 2.856 Li
```

Summary:
Formation energy from the elements: 0.302 eV/atom
E above lowest polymorph: 0.489 eV per atom
Total DFT energy (no corrections): -4.0194 eV per atom
M_tot: 0.68 μB/f.u.

***

What is the formula in the second record? Mg2TaH